1.
10
Lattice="5.674 0.000 0.000 2.837 4.914 0.000 2.837 1.638 4.633" Properties=species:S:1:pos:R:3 comment="SCAN Sr2CeNiO6, PBEsol geometry" n_ef_per_ev_atom=0.000 vol_a3_per_cell=129 e_form_raw_ev_per_fu=-26.982 space_group="No. 225" pbc="T T T"
Sr 8.512 4.914 3.475
Sr 2.837 1.638 1.158
O 4.150 4.156 1.072
O 5.674 5.037 3.561
O 5.674 1.516 1.072
O 7.199 4.156 1.072
O 7.199 2.396 3.561
O 4.150 2.396 3.561
Ce 5.674 3.276 2.317
Ni 0.000 0.000 0.000

2.
5
Lattice="3.879 0.000 0.000 0.000 3.879 0.000 -1.940 -1.940 4.673" Properties=species:S:1:pos:R:3 comment="SCAN CeNi2P2, PBEsol geometry" n_ef_per_ev_atom=0.545 vol_a3_per_cell=70 space_group="No. 139" e_form_mev_per_atom=-1036.3 pbc="T T T"
Ni 1.940 0.000 2.337
Ni 0.000 1.940 2.337
Ce 0.000 0.000 0.000
P 0.000 0.000 3.507
P 1.940 1.940 1.167

3.
6
Lattice="-2.456 -0.215 -3.006 2.175 -3.077 0.957 -5.643 -2.499 4.789" Properties=species:S:1:pos:R:3 comment="SCAN CeNiP, PBEsol geometry" n_ef_per_ev_atom=0.474 vol_a3_per_cell=102 space_group="No. 194" e_form_mev_per_atom=-1249.5 pbc="T T T"
Ni -0.779 -2.748 0.833
Ni -5.144 -3.043 1.907
Ce -2.821 -1.249 2.394
Ce 0.000 0.000 0.000
P -2.323 -1.794 -0.488
P -3.601 -3.997 3.228

4.
29
Lattice="8.554 0.000 0.000 -2.851 8.065 0.000 -2.851 -4.033 6.985" Properties=species:S:1:pos:R:3 comment="SCAN Ce6Ni6P17, PBEsol geometry" n_ef_per_ev_atom=0.736 vol_a3_per_cell=482 space_group="No. 217" e_form_mev_per_atom=-941.4 pbc="T T T"
Ce -4.039 2.856 4.947
Ce 4.039 -2.856 4.947
Ce 4.039 5.712 0.000
Ce -1.664 1.177 2.038
Ce 1.664 -1.177 2.038
Ce 1.664 2.353 0.000
Ni 1.426 5.041 1.746
Ni -1.426 1.008 5.238
Ni 4.277 0.000 3.492
Ni 4.277 3.024 1.746
Ni 1.426 -1.008 5.238
Ni -1.426 4.033 3.492
P 0.400 0.566 4.172
P 3.006 1.488 2.577
P 0.400 3.330 2.577
P 3.252 4.599 2.812
P -2.451 -0.702 4.408
P 0.155 -2.545 4.408
P 0.155 5.090 0.000
P -2.451 4.169 1.596
P 3.252 0.136 5.389
P 4.747 1.843 0.000
P -0.956 3.111 5.389
P 4.747 -0.921 1.596
P 1.689 2.389 4.138
P -1.162 -1.643 2.846
P -1.162 3.287 0.000
P 3.486 0.000 0.000
P 0.000 0.000 0.000

5.
18
Lattice="-0.637 6.166 -0.402 -9.094 -1.090 -2.310 2.500 0.849 9.069" Properties=species:S:1:pos:R:3 comment="SCAN Ce5NiPb3, PBEsol geometry" n_ef_per_ev_atom=1.784 vol_a3_per_cell=480 space_group="No. 193" e_form_mev_per_atom=-575.6 pbc="T T T"
Ce -5.466 4.442 4.812
Ce -1.765 1.483 1.546
Ce 1.732 2.184 6.760
Ce 0.131 4.831 1.908
Ce -1.365 0.203 5.276
Ce -5.229 -0.444 1.483
Ce -7.038 0.717 -1.848
Ce -2.693 4.359 -0.864
Ce -1.683 3.286 5.075
Ce -5.548 2.639 1.282
Ni -0.319 3.083 -0.201
Ni 0.000 0.000 0.000
Pb -4.166 1.395 4.007
Pb -3.065 4.530 2.351
Pb -6.004 3.962 -1.705
Pb 0.822 1.875 3.458
Pb 1.041 5.140 5.210
Pb -3.727 1.114 -1.007

6.
4
Lattice="3.719 0.000 0.000 0.000 4.238 0.000 -1.860 0.000 5.333" Properties=species:S:1:pos:R:3 comment="SCAN Ce2NiPt, PBEsol geometry" n_ef_per_ev_atom=1.777 vol_a3_per_cell=84 space_group="No. 38" e_form_mev_per_atom=-766.7 pbc="T T T"
Ce 0.000 0.000 1.499
Ce 1.860 2.119 3.881
Ni 0.000 0.000 4.373
Pt 1.860 2.119 0.913

7.
40
Lattice="-4.414 1.595 -4.006 3.263 -9.062 -7.204 -7.891 -7.410 5.746" Properties=species:S:1:pos:R:3 comment="SCAN CeNiSb3, PBEsol geometry" n_ef_per_ev_atom=0.777 vol_a3_per_cell=910 e_form_raw_ev_per_fu=-3.228 space_group="No. 57" pbc="T T T"
Ce -1.210 -8.597 -4.795
Ce -4.053 -5.564 -4.878
Ce -6.506 -10.701 -4.548
Ce -5.685 -1.033 -1.275
Ce -7.833 -6.280 -0.669
Ce -6.621 -4.782 3.016
Ce -2.536 -4.176 -0.916
Ce -4.989 -9.313 -0.586
Ni -10.853 -6.385 0.362
Ni 1.073 -6.446 -4.199
Ni -10.116 -8.431 -1.265
Ni -7.432 -11.562 -1.616
Ni -6.695 -13.608 -3.243
Ni -1.611 -3.315 -3.848
Ni 1.810 -8.492 -5.826
Ni -2.348 -1.269 -2.221
Sb -4.157 -2.828 -3.346
Sb -7.755 -9.040 -2.182
Sb -4.806 -6.319 -1.772
Sb -9.243 -8.290 1.221
Sb -9.386 -4.509 1.420
Sb -4.886 -12.049 -2.118
Sb -8.747 -6.778 4.564
Sb -7.115 -11.309 0.962
Sb -5.626 -4.041 0.039
Sb -8.972 -12.330 -3.616
Sb -2.919 -1.306 0.321
Sb -1.973 -9.302 -1.730
Sb -2.830 -7.249 -7.225
Sb -3.559 0.963 -2.823
Sb 0.201 -6.587 -6.685
Sb -4.237 -8.558 -3.692
Sb -7.069 -5.575 -3.734
Sb -1.927 -3.568 -6.426
Sb -1.288 -5.837 -3.281
Sb -6.212 -7.628 1.761
Sb -3.416 -10.836 -5.502
Sb -1.153 -11.580 -3.541
Sb -0.071 -2.547 -1.848
Sb -7.889 -3.297 -1.923

8.
8
Lattice="4.327 0.000 0.000 0.000 4.327 0.000 0.000 0.000 9.308" Properties=species:S:1:pos:R:3 comment="SCAN CeNiSb2, PBEsol geometry" n_ef_per_ev_atom=0.883 vol_a3_per_cell=174 e_form_raw_ev_per_fu=-3.055 space_group="No. 129" pbc="T T T"
Ce 0.000 2.163 2.180
Ce 2.163 0.000 7.129
Ni 2.163 2.163 0.000
Ni 0.000 0.000 0.000
Sb 2.163 0.000 1.360
Sb 0.000 2.163 7.948
Sb 0.000 0.000 4.654
Sb 2.163 2.163 4.654